A plane-wave DFT calculation with PBE-GGA was carried out for a relaxed Pu3Pa2MoN6 crystal.

The structure in extended XYZ format:
```
12
Lattice="2.961 -5.129 0.000 2.961 5.129 0.000 -1.956 0.000 5.612" Properties=species:S:1:pos:R:3 pbc="T T T"
Pu 0.000 0.000 0.000
Pu 2.961 1.663 0.000
Pu 2.961 -1.663 0.000
Pa 1.984 3.416 2.806
Pa 1.984 -3.416 2.806
Mo 1.984 0.000 2.806
N 1.018 1.662 1.508
N 0.068 0.000 4.107
N 1.018 -1.662 1.508
N 2.949 1.662 4.104
N 3.899 0.000 1.505
N 2.949 -1.662 4.104
```

Space-group type ... C2/m, No. 12
Raw total energy ... -11.4956 eV/atom
D(E_F) ... 14.318 states/eV per cell
Energy relative to the elements, uncorrected ... -1.26 eV per atom